No. 1
A geometry-optimized Sr2AgPb structure, computed with PBE.

The density of states at the Fermi level is 0.75 states/eV per atom. The value obtained for the formation energy is -26.3 kJ per mole of atoms. The calculation puts the total DFT energy (no corrections) at -2.75 eV per atom.

The structure belongs to space group R3m (No. 160, hexagonal axes); the cell edges are 4.9982, 4.9982 and 21.7015 Å and the angles 90.00°, 90.00° and 120.00°. The inequivalent atoms are Sr at (0.0000, 0.0000, 0.0000), Sr at (0.0000, 0.0000, 0.1795), Ag at (0.0000, 0.0000, 0.7629) and Pb at (0.0000, 0.0000, 0.4173).

---

No. 2
A geometry-optimized YSc2W structure, computed with PBE.

The density of states at the Fermi level is 1.14 states/eV per atom. The value obtained for the formation energy is 35.2 kJ per mole of atoms. The calculation puts the total DFT energy (no corrections) at -7.66 eV per atom. The value obtained for the polymorph energy (0 for the lowest one) is 0.099 eV/atom.

The structure belongs to space group Cm (No. 8); the cell edges are 9.992, 3.058 and 6.013 Å and the angles 90.00°, 94.97° and 90.00°. The inequivalent atoms are Y at (0.000, 0.000, 0.000), Sc at (0.237, 0.000, 0.688), Sc at (0.486, 0.000, 0.458) and W at (0.246, 0.500, 0.270).

---

No. 3
A geometry-optimized CrGeSeBr2 structure, computed with PBE.

The density of states at the Fermi level is 0.50 states/eV per atom. The formation energy (no corrections) is 7 kJ/mol of formula units. The calculation puts the total DFT energy (no corrections) at -4.20 eV per atom. The value obtained for the polymorph energy (0 for the lowest one) is 0.000 eV/atom.

The structure belongs to space group P4/mmm (No. 123); the cell edges are 4.981, 4.981 and 5.121 Å and the angles 90.00°, 90.00° and 90.00°. The inequivalent atoms are Cr at (0.000, 0.000, 0.000), Ge at (0.500, 0.500, 0.500), Se at (0.000, 0.000, 0.500) and Br at (0.000, 0.500, 0.000).